Entry from Alexandria via LeMat-Bulk: an optimized crystal structure of K4P (GGA-PBEsol).

Cell: 6.6599 6.6599 6.6599 Å, 109.47 109.47 109.47°
Last column: nearest neighbours and their distance in Å.
Atoms (fractional coordinates):
K (0.0000, 0.0000, 0.5000)  2 P 3.33
K (0.0000, 0.5000, 0.0000)  2 P 3.33
K (0.5000, 0.0000, 0.0000)  2 P 3.33
K (0.5000, 0.5000, 0.5000)  2 P 3.33
P (0.0000, 0.0000, 0.0000)  8 K 3.33

Its crystal system is cubic. Its space group is Im-3m, No. 229. For the energy relative to the lowest polymorph listed for this composition, the calculation gives 0 meV/atom. The value obtained for the energy is -2.14 eV per atom.